1.
# KInSi2, optimized geometry, DFT PBE
# Formation energy without anion corrections in kJ per mole of atoms: 54
data_KInSi2
_cell_length_a 6.208
_cell_length_b 10.247
_cell_length_c 2.875
_cell_angle_alpha 90.00
_cell_angle_beta 90.00
_cell_angle_gamma 90.00
_space_group_name_H-M_alt 'C m m m'
_space_group_IT_number 65
_space_group_name_Hall '-C 2 2'
loop_
_atom_site_label
_atom_site_type_symbol
_atom_site_fract_x
_atom_site_fract_y
_atom_site_fract_z
_atom_site_occupancy
K1 K 0.000 0.000 0.000 1
In1 In 0.000 0.500 0.000 1
Si1 Si 0.250 0.250 0.500 1


2.
# TiBeSn2, optimized geometry, DFT PBE
# Energy of formation in eV per atom: 0.29
data_TiBeSn2
_cell_length_a 7.341
_cell_length_b 7.341
_cell_length_c 5.817
_cell_angle_alpha 90.00
_cell_angle_beta 90.00
_cell_angle_gamma 90.00
_space_group_name_H-M_alt 'I -4 2 d'
_space_group_IT_number 122
_space_group_name_Hall 'I -4 2bw'
loop_
_atom_site_label
_atom_site_type_symbol
_atom_site_fract_x
_atom_site_fract_y
_atom_site_fract_z
_atom_site_occupancy
Ti1 Ti 0.000 0.000 0.000 1
Be1 Be 0.000 0.000 0.500 1
Sn1 Sn 0.202 0.750 0.625 1


3.
# LiSiB, optimized geometry, DFT PBE
# Formation energy without anion corrections in kJ per mole of atoms: -3
data_LiSiB
_cell_length_a 3.5252
_cell_length_b 3.5252
_cell_length_c 5.8998
_cell_angle_alpha 90.00
_cell_angle_beta 90.00
_cell_angle_gamma 120.00
_space_group_name_H-M_alt 'P -6 m 2'
_space_group_IT_number 187
_space_group_name_Hall 'P -6 2'
loop_
_atom_site_label
_atom_site_type_symbol
_atom_site_fract_x
_atom_site_fract_y
_atom_site_fract_z
_atom_site_occupancy
Li1 Li 0.0000 0.0000 0.0000 1
Li2 Li 0.0000 0.0000 0.5000 1
Si1 Si 0.3333 0.6667 0.2236 1
B1 B 0.6667 0.3333 0.3296 1


4.
# TlS2F, optimized geometry, DFT PBE
# Relative energy among the computed polymorphs in meV per atom: 852
# Formation energy without anion corrections in kJ per mole of atoms: 13
data_TlS2F
_cell_length_a 5.773
_cell_length_b 5.773
_cell_length_c 12.288
_cell_angle_alpha 90.00
_cell_angle_beta 90.00
_cell_angle_gamma 90.00
_space_group_name_H-M_alt 'I -4 2 d'
_space_group_IT_number 122
_space_group_name_Hall 'I -4 2bw'
loop_
_atom_site_label
_atom_site_type_symbol
_atom_site_fract_x
_atom_site_fract_y
_atom_site_fract_z
_atom_site_occupancy
Tl1 Tl 0.000 0.000 0.000 1
S1 S 0.234 0.250 0.625 1
F1 F 0.000 0.000 0.500 1


5.
# ZrAl3Cu2, optimized geometry, DFT PBE
# Energy of formation in eV per atom: -0.26
data_ZrAl3Cu2
_cell_length_a 5.6324
_cell_length_b 5.6324
_cell_length_c 6.9108
_cell_angle_alpha 90.00
_cell_angle_beta 90.00
_cell_angle_gamma 120.00
_space_group_name_H-M_alt 'P -3 m 1'
_space_group_IT_number 164
_space_group_name_Hall '-P 3 2"'
loop_
_atom_site_label
_atom_site_type_symbol
_atom_site_fract_x
_atom_site_fract_y
_atom_site_fract_z
_atom_site_occupancy
Zr1 Zr 0.3333 0.6667 0.3535 1
Al1 Al 0.1677 0.3355 0.7013 1
Cu1 Cu 0.0000 0.0000 0.0000 1
Cu2 Cu 0.0000 0.5000 0.0000 1


6.
# Sr2MoPt, optimized geometry, DFT PBE
# Relative energy among the computed polymorphs in meV per atom: 359
# Energy of formation in eV per atom: 0.49
data_Sr2MoPt
_cell_length_a 7.558
_cell_length_b 7.558
_cell_length_c 7.558
_cell_angle_alpha 90.00
_cell_angle_beta 90.00
_cell_angle_gamma 90.00
_space_group_name_H-M_alt 'F m -3 m'
_space_group_IT_number 225
_space_group_name_Hall '-F 4 2 3'
loop_
_atom_site_label
_atom_site_type_symbol
_atom_site_fract_x
_atom_site_fract_y
_atom_site_fract_z
_atom_site_occupancy
Sr1 Sr 0.250 0.250 0.250 1
Mo1 Mo 0.000 0.000 0.000 1
Pt1 Pt 0.000 0.000 0.500 1


7.
# BeRhCSe2, optimized geometry, DFT PBE
# Formation energy without anion corrections in kJ per mole of atoms: 58
data_BeRhCSe2
_cell_length_a 4.610
_cell_length_b 4.610
_cell_length_c 3.275
_cell_angle_alpha 90.00
_cell_angle_beta 90.00
_cell_angle_gamma 90.00
_space_group_name_H-M_alt 'P 4/m m m'
_space_group_IT_number 123
_space_group_name_Hall '-P 4 2'
loop_
_atom_site_label
_atom_site_type_symbol
_atom_site_fract_x
_atom_site_fract_y
_atom_site_fract_z
_atom_site_occupancy
Be1 Be 0.000 0.000 0.000 1
Rh1 Rh 0.500 0.500 0.000 1
C1 C 0.000 0.000 0.500 1
Se1 Se 0.000 0.500 0.500 1


8.
# CrNiSe2, optimized geometry, DFT PBE
# Relative energy among the computed polymorphs in meV per atom: 427
# Formation energy without anion corrections in kJ per mole of atoms: 7
data_CrNiSe2
_cell_length_a 6.275
_cell_length_b 6.275
_cell_length_c 6.275
_cell_angle_alpha 90.00
_cell_angle_beta 90.00
_cell_angle_gamma 90.00
_space_group_name_H-M_alt 'F m -3 m'
_space_group_IT_number 225
_space_group_name_Hall '-F 4 2 3'
loop_
_atom_site_label
_atom_site_type_symbol
_atom_site_fract_x
_atom_site_fract_y
_atom_site_fract_z
_atom_site_occupancy
Cr1 Cr 0.000 0.000 0.000 1
Ni1 Ni 0.000 0.000 0.500 1
Se1 Se 0.250 0.250 0.250 1


9.
# Lu2Ti, optimized geometry, DFT PBE
# Energy of formation in eV per atom: 0.16
data_Lu2Ti
_cell_length_a 3.314
_cell_length_b 3.314
_cell_length_c 13.685
_cell_angle_alpha 90.00
_cell_angle_beta 90.00
_cell_angle_gamma 90.00
_space_group_name_H-M_alt 'I 4/m m m'
_space_group_IT_number 139
_space_group_name_Hall '-I 4 2'
loop_
_atom_site_label
_atom_site_type_symbol
_atom_site_fract_x
_atom_site_fract_y
_atom_site_fract_z
_atom_site_occupancy
Lu1 Lu 0.000 0.000 0.151 1
Ti1 Ti 0.000 0.000 0.500 1


10.
# PrYInPt, optimized geometry, DFT PBE
# Energy of formation in eV per atom: -0.68
data_PrYInPt
_cell_length_a 7.415
_cell_length_b 7.415
_cell_length_c 7.415
_cell_angle_alpha 90.00
_cell_angle_beta 90.00
_cell_angle_gamma 90.00
_space_group_name_H-M_alt 'F -4 3 m'
_space_group_IT_number 216
_space_group_name_Hall 'F -4 2 3'
loop_
_atom_site_label
_atom_site_type_symbol
_atom_site_fract_x
_atom_site_fract_y
_atom_site_fract_z
_atom_site_occupancy
Pr1 Pr 0.000 0.000 0.000 1
Y1 Y 0.000 0.000 0.500 1
In1 In 0.250 0.250 0.750 1
Pt1 Pt 0.250 0.250 0.250 1


11.
# Rb2InPb2, optimized geometry, DFT PBE
# Relative energy among the computed polymorphs in meV per atom: 217
# Energy of formation in eV per atom: 0.11
data_Rb2InPb2
_cell_length_a 10.594
_cell_length_b 10.594
_cell_length_c 3.697
_cell_angle_alpha 90.00
_cell_angle_beta 90.00
_cell_angle_gamma 90.00
_space_group_name_H-M_alt 'P 4/m b m'
_space_group_IT_number 127
_space_group_name_Hall '-P 4 2ab'
loop_
_atom_site_label
_atom_site_type_symbol
_atom_site_fract_x
_atom_site_fract_y
_atom_site_fract_z
_atom_site_occupancy
Rb1 Rb 0.196 0.304 0.000 1
In1 In 0.000 0.000 0.500 1
Pb1 Pb 0.101 0.601 0.500 1


12.
# PaTcSb, optimized geometry, DFT PBE
# Relative energy among the computed polymorphs in meV per atom: 169
# Formation energy without anion corrections in kJ per mole of atoms: -26
data_PaTcSb
_cell_length_a 4.727
_cell_length_b 4.727
_cell_length_c 6.367
_cell_angle_alpha 90.00
_cell_angle_beta 90.00
_cell_angle_gamma 90.00
_space_group_name_H-M_alt 'P 42/m m c'
_space_group_IT_number 131
_space_group_name_Hall '-P 4c 2'
loop_
_atom_site_label
_atom_site_type_symbol
_atom_site_fract_x
_atom_site_fract_y
_atom_site_fract_z
_atom_site_occupancy
Pa1 Pa 0.000 0.500 0.000 1
Tc1 Tc 0.000 0.000 0.250 1
Sb1 Sb 0.000 0.500 0.500 1


Question: Number 1 is which compound?
Answer: KInSi2